Record 1
Material: Zr2FeCl
Method: DFT, PBE
State: optimized geometry

## Properties
SG: Immm, No. 71
Crystal system: orthorhombic
Formation energy (no corrections): -3 kJ/mol of atoms
Energy relative to the lowest polymorph listed for this composition: 470 meV per atom

POSCAR file:
```
Zr2FeCl
1.0
-1.0519 0.8591 -4.7087
1.5798 -4.3176 -1.6968
-3.5223 1.4746 3.0717
Fe Zr Cl
1 2 1
Direct
0.2500 0.7500 0.5000 Fe
0.0098 0.0098 0.0000 Zr
0.4902 0.4902 0.0000 Zr
0.7500 0.2500 0.5000 Cl
```

---

Record 2
Material: TcOsPb2
Method: DFT, PBE
State: optimized geometry

## Properties
SG: Immm, No. 71
Crystal system: orthorhombic
Energy relative to the lowest polymorph listed for this composition: 716 meV per atom

POSCAR file:
```
TcOsPb2
1.0
5.4764 -0.0061 -0.0002
1.7719 5.1818 0.0002
-2.7561 -3.8035 2.8157
Os Pb Tc
1 2 1
Direct
0.2500 0.7500 0.5000 Os
0.0010 0.0010 0.0000 Pb
0.4990 0.4990 0.0000 Pb
0.7500 0.2500 0.5000 Tc
```

---

Record 3
Material: CsTi3Bi3
Method: DFT, PBE
State: optimized geometry

## Properties
SG: P6_3/m, No. 176
Crystal system: hexagonal

POSCAR file:
```
CsTi3Bi3
1.0
4.7849 0.0000 0.0000
0.0000 9.2660 -5.3497
0.0000 0.0000 10.6994
Cs Ti Bi
2 6 6
Direct
0.7500 0.3333 0.6667 Cs
0.2500 0.6667 0.3333 Cs
0.7500 0.0280 0.1804 Ti
0.7500 0.1524 0.9720 Ti
0.7500 0.8196 0.8476 Ti
0.2500 0.9720 0.8196 Ti
0.2500 0.8476 0.0280 Ti
0.2500 0.1804 0.1524 Ti
0.7500 0.3385 0.2883 Bi
0.7500 0.9498 0.6615 Bi
0.7500 0.7117 0.0502 Bi
0.2500 0.6615 0.7117 Bi
0.2500 0.0502 0.3385 Bi
0.2500 0.2883 0.9498 Bi
```

---

Number 1: electronic total energy -6.89 eV/atom. Number 2: electronic total energy -6.17 eV/atom. Number 3: electronic total energy -5.32 eV/atom.